1.
LaMnW2 | PBE-GGA | relaxed

```
data_LaMnW2
_chemical_formula_sum 'La3 Mn3 W6'
_cell_length_a 2.9610
_cell_length_b 2.9610
_cell_length_c 28.7121
_cell_angle_alpha 90.00
_cell_angle_beta 90.00
_cell_angle_gamma 120.00
_symmetry_space_group_name_H-M 'R -3 m'
_symmetry_Int_Tables_number 166
_symmetry_space_group_name_Hall '-R 3 2"'
loop_
_atom_site_label
_atom_site_fract_x
_atom_site_fract_y
_atom_site_fract_z
La1 0.0000 0.0000 0.0000
Mn1 0.0000 0.0000 0.5000
W1 0.0000 0.0000 0.2338
```

Output
* energy relative to the elements: 0.7750 eV per atom
* offset from the most stable computed form: 0.373 eV per atom



2.
KSiTe2 | PBE-GGA | relaxed

```
data_KSiTe2
_chemical_formula_sum 'K1 Si1 Te2'
_cell_length_a 3.185
_cell_length_b 4.141
_cell_length_c 8.888
_cell_angle_alpha 90.00
_cell_angle_beta 90.00
_cell_angle_gamma 90.00
_symmetry_space_group_name_H-M 'P m m m'
_symmetry_Int_Tables_number 47
_symmetry_space_group_name_Hall '-P 2 2'
loop_
_atom_site_label
_atom_site_fract_x
_atom_site_fract_y
_atom_site_fract_z
K1 0.000 0.000 0.000
Si1 0.500 0.000 0.500
Te1 0.500 0.500 0.277
```

Output
* formation energy (no corrections): -0.1585 eV per atom



3.
ScRuW2 | PBE-GGA | relaxed

```
data_ScRuW2
_chemical_formula_sum 'Sc4 Ru4 W8'
_cell_length_a 6.369
_cell_length_b 6.369
_cell_length_c 6.369
_cell_angle_alpha 90.00
_cell_angle_beta 90.00
_cell_angle_gamma 90.00
_symmetry_space_group_name_H-M 'F -4 3 m'
_symmetry_Int_Tables_number 216
_symmetry_space_group_name_Hall 'F -4 2 3'
loop_
_atom_site_label
_atom_site_fract_x
_atom_site_fract_y
_atom_site_fract_z
Sc1 0.000 0.000 0.000
Ru1 0.250 0.250 0.250
W1 0.000 0.000 0.500
W2 0.250 0.250 0.750
```

Output
* energy relative to the elements: -0.0450 eV per atom
* offset from the most stable computed form: 0.007 eV per atom



4.
Sc2TlRe | PBE-GGA | relaxed

```
data_Sc2TlRe
_chemical_formula_sum 'Sc8 Tl4 Re4'
_cell_length_a 4.263
_cell_length_b 4.263
_cell_length_c 19.355
_cell_angle_alpha 90.00
_cell_angle_beta 90.00
_cell_angle_gamma 90.00
_symmetry_space_group_name_H-M 'I -4 2 d'
_symmetry_Int_Tables_number 122
_symmetry_space_group_name_Hall 'I -4 2bw'
loop_
_atom_site_label
_atom_site_fract_x
_atom_site_fract_y
_atom_site_fract_z
Sc1 0.230 0.250 0.125
Tl1 0.000 0.000 0.500
Re1 0.000 0.000 0.000
```

Output
* energy relative to the elements: 0.7241 eV per atom



5.
SmNpOs | PBE-GGA | relaxed

```
data_SmNpOs
_chemical_formula_sum 'Sm8 Np8 Os8'
_cell_length_a 5.044
_cell_length_b 8.315
_cell_length_c 11.842
_cell_angle_alpha 90.00
_cell_angle_beta 90.00
_cell_angle_gamma 90.00
_symmetry_space_group_name_H-M 'F m m m'
_symmetry_Int_Tables_number 69
_symmetry_space_group_name_Hall '-F 2 2'
loop_
_atom_site_label
_atom_site_fract_x
_atom_site_fract_y
_atom_site_fract_z
Sm1 0.000 0.163 0.000
Np1 0.250 0.250 0.250
Os1 0.000 0.000 0.381
```

Output
* energy relative to the elements: 0.5452 eV per atom



6.
LaZr2Mo | PBE-GGA | relaxed

```
data_LaZr2Mo
_chemical_formula_sum 'La3 Zr6 Mo3'
_cell_length_a 3.3585
_cell_length_b 3.3585
_cell_length_c 29.1343
_cell_angle_alpha 90.00
_cell_angle_beta 90.00
_cell_angle_gamma 120.00
_symmetry_space_group_name_H-M 'R -3 m'
_symmetry_Int_Tables_number 166
_symmetry_space_group_name_Hall '-R 3 2"'
loop_
_atom_site_label
_atom_site_fract_x
_atom_site_fract_y
_atom_site_fract_z
La1 0.0000 0.0000 0.0000
Zr1 0.0000 0.0000 0.2349
Mo1 0.0000 0.0000 0.5000
```

Output
* energy relative to the elements: 0.2363 eV per atom
* offset from the most stable computed form: 0.151 eV per atom



7.
Cs5Hg19 | PBE-GGA | relaxed

```
data_Cs5Hg19
_chemical_formula_sum 'Cs10 Hg38'
_cell_length_a 12.375
_cell_length_b 12.375
_cell_length_c 11.195
_cell_angle_alpha 90.00
_cell_angle_beta 90.00
_cell_angle_gamma 90.00
_symmetry_space_group_name_H-M 'I 4/m'
_symmetry_Int_Tables_number 87
_symmetry_space_group_name_Hall '-I 4'
loop_
_atom_site_label
_atom_site_fract_x
_atom_site_fract_y
_atom_site_fract_z
Cs1 0.000 0.000 0.000
Cs2 0.120 0.677 0.500
Hg1 0.000 0.000 0.500
Hg2 0.000 0.500 0.250
Hg3 0.080 0.173 0.282
Hg4 0.113 0.703 0.140
```

Output
* energy relative to the elements: -0.2282 eV per atom



8.
Li2MgPd2 | PBE-GGA | relaxed

```
data_Li2MgPd2
_chemical_formula_sum 'Li4 Mg2 Pd4'
_cell_length_a 7.137
_cell_length_b 7.137
_cell_length_c 3.009
_cell_angle_alpha 90.00
_cell_angle_beta 90.00
_cell_angle_gamma 90.00
_symmetry_space_group_name_H-M 'P 4/m b m'
_symmetry_Int_Tables_number 127
_symmetry_space_group_name_Hall '-P 4 2ab'
loop_
_atom_site_label
_atom_site_fract_x
_atom_site_fract_y
_atom_site_fract_z
Li1 0.149 0.351 0.000
Mg1 0.000 0.000 0.500
Pd1 0.147 0.647 0.500
```

Output
* energy relative to the elements: -0.4043 eV per atom
* offset from the most stable computed form: 0.055 eV per atom